No. 1
Material: TcPdS2Cl
Method: DFT, meta-GGA SCAN
State: single point on PBEsol structure

Formation energy without anion corrections (eV per atom): 0.31
SG: P4/mmm

abc: 4.453 4.453 4.869
angles: 90.00 90.00 90.00
Fractional positions:
Tc 0.000 0.000 0.000
S 0.500 0.000 0.000
S 0.000 0.500 0.000
Pd 0.500 0.500 0.500
Cl 0.000 0.000 0.500


No. 2
Material: CoReSb2
Method: DFT, meta-GGA SCAN
State: single point on PBEsol structure

Formation energy without anion corrections (eV per atom): 0.53
Energy relative to the lowest polymorph listed for this composition (meV/atom): 0.0
SG: Imm2

abc: 2.998 4.006 6.388
angles: 108.28 103.57 90.00
Fractional positions:
Sb 0.031 0.031 0.062
Sb 0.795 0.295 0.591
Re 0.183 0.683 0.365
Co 0.491 0.491 0.982


No. 3
Material: NaMgAl5P4H10O24
Method: DFT, meta-GGA SCAN
State: single point on PBEsol structure

SG: C2/c

abc: 5.034 12.764 13.472
angles: 110.61 90.00 101.37
Fractional positions:
O 0.946 0.150 0.565
O 0.089 0.653 0.290
O 0.381 0.336 0.009
O 0.784 0.582 0.620
O 0.701 0.394 0.383
O 0.054 0.850 0.435
O 0.911 0.347 0.710
O 0.747 0.959 0.597
O 0.846 0.817 0.674
O 0.038 0.445 0.162
O 0.216 0.418 0.380
O 0.621 0.743 0.295
O 0.436 0.347 0.210
O 0.299 0.043 0.604
O 0.202 0.418 0.880
O 0.379 0.257 0.705
O 0.701 0.957 0.396
O 0.744 0.043 0.104
O 0.586 0.746 0.492
O 0.253 0.041 0.403
O 0.307 0.606 0.117
O 0.796 0.850 0.935
O 0.211 0.959 0.097
O 0.878 0.257 0.205
O 0.789 0.041 0.903
O 0.564 0.653 0.790
O 0.029 0.183 0.826
O 0.693 0.394 0.883
O 0.407 0.445 0.662
O 0.414 0.254 0.508
O 0.204 0.150 0.065
O 0.299 0.606 0.617
O 0.154 0.183 0.326
O 0.593 0.555 0.338
O 0.798 0.582 0.120
O 0.634 0.160 0.342
O 0.971 0.817 0.174
O 0.955 0.336 0.509
O 0.160 0.746 0.992
O 0.473 0.840 0.158
O 0.122 0.743 0.795
O 0.840 0.254 0.008
O 0.962 0.555 0.838
O 0.527 0.160 0.842
O 0.045 0.664 0.491
O 0.366 0.840 0.658
O 0.619 0.664 0.991
O 0.256 0.957 0.896
H 0.216 0.868 0.856
H 0.447 0.685 0.975
H 0.761 0.315 0.525
H 0.534 0.991 0.405
H 0.718 0.291 0.197
H 0.427 0.709 0.303
H 0.652 0.868 0.356
H 0.239 0.685 0.475
H 0.553 0.315 0.025
H 0.156 0.849 0.373
H 0.308 0.151 0.127
H 0.348 0.132 0.644
H 0.466 0.009 0.595
H 0.282 0.709 0.803
H 0.844 0.151 0.627
H 0.543 0.009 0.095
H 0.692 0.849 0.873
H 0.573 0.291 0.697
H 0.457 0.991 0.905
H 0.784 0.132 0.144
Na 0.856 0.000 0.250
Na 0.144 0.000 0.750
Al 0.076 0.718 0.649
Al 0.831 0.697 0.391
Al 0.358 0.282 0.851
Al 0.866 0.697 0.891
Al 0.924 0.282 0.351
Al 0.642 0.718 0.149
Al 0.000 0.000 0.500
Al 0.000 0.000 0.000
Al 0.134 0.303 0.109
Al 0.169 0.303 0.609
P 0.364 0.161 0.396
P 0.203 0.839 0.104
P 0.636 0.839 0.604
P 0.797 0.161 0.896
P 0.055 0.568 0.173
P 0.945 0.432 0.827
P 0.486 0.432 0.327
P 0.514 0.568 0.673
Mg 0.500 0.500 0.000
Mg 0.000 0.500 0.500


| no. | total DFT energy (no corrections) (eV per cell) | magnetic moment (μB/f.u.) |
| --- | --- | --- |
| 1 | -93.52 | 0.000 |
| 2 | -160.82 | 0.000 |
| 3 | -760.23 | 0.000 |